(1)
AgHgW3 | PBE | relaxed

Values from the calculation:
energy above the most stable polymorph in this dataset	0.000	eV per atom
space-group type	Pm-3m
energy of formation	2.782	eV/atom
D(E_F)	0.5471	states/eV/atom
crystal system	cubic

Cell: 4.7981 4.7981 4.7981 Å, 90.00 90.00 90.00°
Closest atoms and distances in Å follow each position.
Positions (direct):
Ag: 0.0000 0.0000 0.0000  6 W 2.40
Hg: 0.5000 0.5000 0.5000  12 W 3.39
W: 0.0000 0.0000 0.5000  2 Ag 2.40
W: 0.0000 0.5000 0.0000  2 Ag 2.40
W: 0.5000 0.0000 0.0000  2 Ag 2.40

***

(2)
PmBe3Ir2 | PBE | relaxed

Values from the calculation:
energy above the most stable polymorph in this dataset	0.000	eV per atom
space-group type	Cmcm
energy of formation	-0.592	eV/atom
D(E_F)	0.4627	states/eV/atom
crystal system	orthorhombic

Cell: 5.6583 5.6583 5.5750 Å, 90.00 90.00 74.89°
Closest atoms and distances in Å follow each position.
Positions (direct):
Pm: 0.1705 0.8295 0.7500  5 Be 2.84-3.16
Pm: 0.8295 0.1705 0.2500  5 Be 2.84-3.16
Be: 0.0321 0.5952 0.2500  1 Be 2.16, 4 Ir 2.30-2.39
Be: 0.4048 0.9679 0.2500  1 Be 2.16, 4 Ir 2.30-2.39
Be: 0.4169 0.5831 0.2500  2 Be 2.16, 4 Ir 2.33
Be: 0.5831 0.4169 0.7500  2 Be 2.16, 4 Ir 2.33
Be: 0.5952 0.0321 0.7500  1 Be 2.16, 4 Ir 2.30-2.39
Be: 0.9679 0.4048 0.7500  1 Be 2.16, 4 Ir 2.30-2.39
Ir: 0.3028 0.3028 0.0000  6 Be 2.30-2.39
Ir: 0.3028 0.3028 0.5000  6 Be 2.30-2.39
Ir: 0.6972 0.6972 0.0000  6 Be 2.30-2.39
Ir: 0.6972 0.6972 0.5000  6 Be 2.30-2.39

***

Repeat the second record exactly.
PmBe3Ir2 | PBE | relaxed

Values from the calculation:
energy above the most stable polymorph in this dataset	0.000	eV per atom
space-group type	Cmcm
energy of formation	-0.592	eV/atom
D(E_F)	0.4627	states/eV/atom
crystal system	orthorhombic

Cell: 5.6583 5.6583 5.5750 Å, 90.00 90.00 74.89°
Closest atoms and distances in Å follow each position.
Positions (direct):
Pm: 0.1705 0.8295 0.7500  5 Be 2.84-3.16
Pm: 0.8295 0.1705 0.2500  5 Be 2.84-3.16
Be: 0.0321 0.5952 0.2500  1 Be 2.16, 4 Ir 2.30-2.39
Be: 0.4048 0.9679 0.2500  1 Be 2.16, 4 Ir 2.30-2.39
Be: 0.4169 0.5831 0.2500  2 Be 2.16, 4 Ir 2.33
Be: 0.5831 0.4169 0.7500  2 Be 2.16, 4 Ir 2.33
Be: 0.5952 0.0321 0.7500  1 Be 2.16, 4 Ir 2.30-2.39
Be: 0.9679 0.4048 0.7500  1 Be 2.16, 4 Ir 2.30-2.39
Ir: 0.3028 0.3028 0.0000  6 Be 2.30-2.39
Ir: 0.3028 0.3028 0.5000  6 Be 2.30-2.39
Ir: 0.6972 0.6972 0.0000  6 Be 2.30-2.39
Ir: 0.6972 0.6972 0.5000  6 Be 2.30-2.39

***

Question: Number 2 is which compound?
Answer: PmBe3Ir2

***

Question: Which of these has the lowest energy of formation?
Answer: PmBe3Ir2